[1]
Ga4NiBi: relaxed, PBE.

Cell and atoms, written as POSCAR:
```
Ga4NiBi
1.0
2.3382 -8.4852 0.0000
2.3382 8.4852 0.0000
0.0000 0.0000 6.1368
Ga Bi Ni
8 2 2
Direct
0.5000 0.5000 0.0000 Ga
0.9094 0.0906 0.7500 Ga
0.2928 0.7072 0.0134 Ga
0.7072 0.2928 0.9866 Ga
0.0906 0.9094 0.2500 Ga
0.2928 0.7072 0.4866 Ga
0.7072 0.2928 0.5134 Ga
0.5000 0.5000 0.5000 Ga
0.8881 0.1119 0.2500 Bi
0.1119 0.8881 0.7500 Bi
0.3972 0.6028 0.7500 Ni
0.6028 0.3972 0.2500 Ni
```

Properties
Uncorrected energy   -3.640 eV/atom
Symmetry   Cmcm


[2]
Lu4ZnCuIr2: relaxed, PBE.

Cell and atoms, written as POSCAR:
```
Lu4ZnCuIr2
1.0
-0.6638 3.5995 3.0876
2.2198 -2.5192 3.4141
5.9340 2.6970 -1.8683
Lu Ir Cu Zn
4 2 1 1
Direct
0.0000 0.5000 0.7533 Lu
0.5000 0.0000 0.2467 Lu
0.0000 0.5000 0.2467 Lu
0.5000 0.0000 0.7533 Lu
0.0000 0.0000 0.5000 Ir
0.5000 0.5000 0.0000 Ir
0.0000 0.0000 0.0000 Cu
0.5000 0.5000 0.5000 Zn
```

Properties
Uncorrected energy   -5.793 eV/atom
Symmetry   P4/mmm
Formation enthalpy at 0 K   -695 meV/atom


[3]
RbTaB4: relaxed, PBE.

Cell and atoms, written as POSCAR:
```
RbTaB4
1.0
-1.8375 -2.4894 0.1220
2.4489 0.0254 -1.8948
4.8890 -3.3012 6.2743
B Ta Rb
4 1 1
Direct
0.3333 0.6667 0.3086 B
0.6667 0.3333 0.6914 B
0.6667 0.3333 0.3086 B
0.3333 0.6667 0.6914 B
0.0000 0.0000 0.5000 Ta
0.0000 0.0000 0.0000 Rb
```

Properties
Uncorrected energy   -6.783 eV/atom
Symmetry   P6/mmm
Excess energy over the best structure of this formula in the dataset   0.000 eV/atom


[4]
RbTmTlTe3: relaxed, PBE.

Cell and atoms, written as POSCAR:
```
RbTmTlTe3
1.0
-10.2056 10.3576 -8.6392
-3.2054 -0.7880 2.8418
3.8625 9.6782 7.0404
Rb Te Tm Tl
4 12 4 4
Direct
0.7230 0.7500 0.5622 Rb
0.2770 0.2500 0.4378 Rb
0.7770 0.2500 0.0622 Rb
0.2230 0.7500 0.9378 Rb
0.6053 0.7500 0.0422 Te
0.3947 0.2500 0.9578 Te
0.3995 0.7500 0.2450 Te
0.6338 0.2500 0.3185 Te
0.3662 0.7500 0.6815 Te
0.8662 0.7500 0.8185 Te
0.1338 0.2500 0.1815 Te
0.1053 0.7500 0.4578 Te
0.1005 0.2500 0.7450 Te
0.8995 0.7500 0.2550 Te
0.8947 0.2500 0.5422 Te
0.6005 0.2500 0.7550 Te
0.5050 0.2500 0.1472 Tm
0.4950 0.7500 0.8528 Tm
0.9950 0.7500 0.6472 Tm
0.0050 0.2500 0.3528 Tm
0.5270 0.7500 0.4085 Tl
0.4730 0.2500 0.5915 Tl
0.9730 0.2500 0.9085 Tl
0.0270 0.7500 0.0915 Tl
```

Properties
Uncorrected energy   -3.775 eV/atom
Symmetry   Pnma
Excess energy over the best structure of this formula in the dataset   0.000 eV/atom


[5]
TaFeMoAs: relaxed, PBE.

Cell and atoms, written as POSCAR:
```
TaFeMoAs
1.0
1.3608 1.9850 3.6267
-0.7533 4.2490 0.5689
-2.8908 1.3185 2.9749
As Fe Mo Ta
1 1 1 1
Direct
0.0000 0.0000 0.0000 As
0.7500 0.7500 0.7500 Fe
0.2500 0.2500 0.2500 Mo
0.5000 0.5000 0.5000 Ta
```

Properties
Uncorrected energy   -8.848 eV/atom
Symmetry   F-43m
Excess energy over the best structure of this formula in the dataset   0.000 eV/atom


[6]
Ba2NbAu: relaxed, PBE.

Cell and atoms, written as POSCAR:
```
Ba2NbAu
1.0
0.0000 3.8171 3.8171
3.8171 0.0000 3.8171
3.8171 3.8171 0.0000
Ba Au Nb
2 1 1
Direct
0.2500 0.2500 0.2500 Ba
0.0000 0.0000 0.0000 Ba
0.5000 0.5000 0.5000 Au
0.7500 0.7500 0.7500 Nb
```

Properties
Uncorrected energy   -3.686 eV/atom
Symmetry   F-43m


[7]
K2NaTbI6: relaxed, PBE.

Cell and atoms, written as POSCAR:
```
K2NaTbI6
1.0
2.8122 -5.9688 -5.6023
0.2042 -8.3412 2.3028
-5.5817 -5.6000 -3.5221
Na Tb I K
1 1 6 2
Direct
0.5000 0.5000 0.5000 Na
0.0000 0.0000 0.0000 Tb
0.2466 0.7534 0.2466 I
0.7534 0.2466 0.2466 I
0.2466 0.7534 0.7534 I
0.2466 0.2466 0.7534 I
0.7534 0.2466 0.7534 I
0.7534 0.7534 0.2466 I
0.7500 0.7500 0.7500 K
0.2500 0.2500 0.2500 K
```

Properties
Uncorrected energy   -3.092 eV/atom
Symmetry   Fm-3m


[8]
YTlCuRe: relaxed, PBE.

Cell and atoms, written as POSCAR:
```
YTlCuRe
1.0
0.0000 3.3860 3.3860
3.3860 0.0000 3.3860
3.3860 3.3860 0.0000
Cu Y Tl Re
1 1 1 1
Direct
0.7500 0.7500 0.7500 Cu
0.5000 0.5000 0.5000 Y
0.0000 0.0000 0.0000 Tl
0.2500 0.2500 0.2500 Re
```

Properties
Uncorrected energy   -5.698 eV/atom
Symmetry   F-43m
Excess energy over the best structure of this formula in the dataset   0.000 eV/atom


[9]
NdErZnCo2: relaxed, PBE.

Cell and atoms, written as POSCAR:
```
NdErZnCo2
1.0
-2.0567 2.7314 4.1672
2.0567 -2.7314 4.1672
2.0567 2.7314 -4.1672
Zn Er Co Nd
1 1 2 1
Direct
0.0035 0.0035 0.0000 Zn
0.2935 0.7935 0.5000 Er
0.7064 0.4971 0.2094 Co
0.2877 0.4971 0.7906 Co
0.7089 0.2089 0.5000 Nd
```

Properties
Uncorrected energy   -5.201 eV/atom
Symmetry   Imm2
Formation enthalpy at 0 K   -240 meV/atom


[10]
NbRe2Si: relaxed, PBE.

Cell and atoms, written as POSCAR:
```
NbRe2Si
1.0
-1.9251 -3.0011 -2.5788
-3.8961 -1.7018 1.1347
-3.6103 1.0531 -2.2847
Si Re Nb
1 2 1
Direct
0.5000 0.5000 0.5000 Si
0.0000 0.0000 0.0000 Re
0.7500 0.7500 0.7500 Re
0.2500 0.2500 0.2500 Nb
```

Properties
Uncorrected energy   -10.017 eV/atom
Symmetry   F-43m


[11]
Tm3ScO6: relaxed, PBE.

Cell and atoms, written as POSCAR:
```
Tm3ScO6
1.0
4.6469 2.6829 3.6067
-4.6469 2.6829 3.6067
0.0000 -5.3658 3.6067
Tm O Sc
6 12 2
Direct
0.5607 0.2524 0.0683 Tm
0.9317 0.4393 0.7476 Tm
0.2524 0.0683 0.5607 Tm
0.4393 0.7476 0.9317 Tm
0.7476 0.9317 0.4393 Tm
0.0683 0.5607 0.2524 Tm
0.4052 0.5357 0.1908 O
0.9122 0.3089 0.0705 O
0.9295 0.0878 0.6911 O
0.5357 0.1908 0.4052 O
0.6911 0.9295 0.0878 O
0.0705 0.9122 0.3089 O
0.8092 0.5948 0.4643 O
0.4643 0.8092 0.5948 O
0.1908 0.4052 0.5357 O
0.5948 0.4643 0.8092 O
0.0878 0.6911 0.9295 O
0.3089 0.0705 0.9122 O
0.5000 0.5000 0.5000 Sc
0.0000 0.0000 0.0000 Sc
```

Properties
Uncorrected energy   -8.592 eV/atom
Symmetry   R-3


[12]
TaNiPd: relaxed, PBE.

Cell and atoms, written as POSCAR:
```
TaNiPd
1.0
0.0000 2.9753 2.9753
2.9753 0.0000 2.9753
2.9753 2.9753 0.0000
Ta Ni Pd
1 1 1
Direct
0.0000 0.0000 0.0000 Ta
0.2500 0.2500 0.2500 Ni
0.7500 0.7500 0.7500 Pd
```

Properties
Uncorrected energy   -7.255 eV/atom
Symmetry   F-43m
Excess energy over the best structure of this formula in the dataset   0.148 eV/atom
Formation enthalpy at 0 K   277 meV/atom